[1]
CoPRu | PBE | optimized geometry

a b c (Å): 3.800 3.800 3.800
angles (deg): 60.00 60.00 60.00
Sites, in units of the cell vectors:
P1 0.750 0.750 0.750
Ru1 0.000 0.000 0.000
Co1 0.500 0.500 0.500

Calculated values
DFT total energy ... -7.70 eV per atom

=====

[2]
LuThRhAu | PBE | optimized geometry

a b c (Å): 5.045 5.045 5.045
angles (deg): 60.00 60.00 60.00
Sites, in units of the cell vectors:
Au1 0.000 0.000 0.000
Lu1 0.750 0.750 0.750
Rh1 0.500 0.500 0.500
Th1 0.250 0.250 0.250

Calculated values
DFT total energy ... -6.39 eV per atom

=====

[3]
Ta2VReH | PBE | optimized geometry

a b c (Å): 4.446 4.446 3.442
angles (deg): 90.00 90.00 90.00
Sites, in units of the cell vectors:
V1 0.500 0.500 0.500
Re1 0.000 0.000 0.500
Ta1 0.000 0.500 0.000
Ta2 0.500 0.000 0.000
H1 0.000 0.000 0.000

Calculated values
DFT total energy ... -9.74 eV per atom

=====

[4]
BeI2NF | PBE | optimized geometry

a b c (Å): 5.414 5.414 3.839
angles (deg): 90.00 90.00 90.00
Each line ends with the local moment (μB).
Sites, in units of the cell vectors:
F1 0.000 0.000 0.000  -0.15
I1 0.500 0.000 0.000  -0.09
I2 0.000 0.500 0.000  -0.09
N1 0.000 0.000 0.500  1.38
Be1 0.500 0.500 0.500  0.01

Calculated values
Uncorrected formation energy ... 1438 meV/atom

=====

[5]
YHg2Ir | PBE | optimized geometry

a b c (Å): 4.919 3.279 5.482
angles (deg): 77.21 90.00 90.00
Sites, in units of the cell vectors:
Hg1 0.000 0.122 0.018
Ir1 0.500 0.250 0.250
Y1 0.500 0.750 0.750
Hg2 0.000 0.378 0.482

Calculated values
DFT total energy ... -4.09 eV per atom

=====

[6]
Tl3Hg5Br12 | PBE | optimized geometry

a b c (Å): 15.639 15.639 15.639
angles (deg): 109.47 109.47 109.47
Sites, in units of the cell vectors:
Tl1 0.625 0.250 0.375
Br1 0.822 0.914 0.295
Hg1 0.250 0.375 0.625
Br2 0.705 0.586 0.178
Br3 0.474 0.678 0.092
Br4 0.586 0.705 0.678
Br5 0.086 0.908 0.382
Br6 0.026 0.408 0.822
Br7 0.526 0.205 0.118
Tl2 0.750 0.875 0.625
Br8 0.414 0.118 0.592
Hg2 0.875 0.625 0.750
Hg3 0.500 0.500 0.000
Br9 0.092 0.914 0.118
Hg4 0.750 0.125 0.875
Hg5 0.625 0.750 0.875
Br10 0.408 0.382 0.586
Tl3 0.375 0.625 0.250
Br11 0.092 0.178 0.474
Br12 0.592 0.974 0.678
Tl4 0.625 0.375 0.750
Hg6 0.750 0.625 0.375
Br13 0.882 0.586 0.908
Br14 0.592 0.618 0.414
Br15 0.795 0.322 0.914
Br16 0.118 0.414 0.092
Br17 0.908 0.822 0.526
Br18 0.974 0.592 0.178
Br19 0.618 0.026 0.205
Hg7 0.250 0.875 0.125
Br20 0.408 0.026 0.322
Hg8 0.875 0.250 0.625
Br21 0.382 0.974 0.795
Br22 0.882 0.295 0.474
Tl5 0.125 0.875 0.750
Br23 0.474 0.795 0.882
Hg9 0.375 0.125 0.750
Hg10 0.500 0.000 0.500
Br24 0.205 0.526 0.618
Br25 0.026 0.618 0.705
Hg11 0.625 0.875 0.250
Br26 0.178 0.086 0.705
Br27 0.178 0.092 0.974
Br28 0.795 0.474 0.382
Tl6 0.750 0.375 0.125
Tl7 0.375 0.750 0.625
Tl8 0.875 0.125 0.250
Hg12 0.000 0.000 0.000
Br29 0.914 0.822 0.795
Hg13 0.375 0.250 0.125
Hg14 0.000 0.500 0.000
Br30 0.705 0.118 0.026
Br31 0.914 0.092 0.618
Hg15 0.125 0.750 0.375
Br32 0.414 0.295 0.322
Br33 0.586 0.882 0.408
Hg16 0.000 0.500 0.500
Hg17 0.500 0.500 0.500
Hg18 0.000 0.000 0.500
Hg19 0.125 0.375 0.250
Br34 0.322 0.795 0.414
Hg20 0.500 0.000 0.000
Tl9 0.250 0.125 0.375
Br35 0.678 0.474 0.592
Br36 0.908 0.086 0.882
Br37 0.295 0.882 0.974
Br38 0.974 0.382 0.295
Br39 0.678 0.205 0.586
Br40 0.295 0.414 0.822
Tl10 0.250 0.625 0.875
Br41 0.322 0.526 0.408
Tl11 0.875 0.750 0.125
Br42 0.822 0.908 0.026
Br43 0.618 0.592 0.914
Br44 0.086 0.178 0.205
Br45 0.205 0.678 0.086
Br46 0.526 0.322 0.908
Br47 0.382 0.408 0.086
Br48 0.118 0.705 0.526
Tl12 0.125 0.250 0.875

Calculated values
Uncorrected formation energy ... -528 meV/atom

=====

Number 1: D(E_F) 1.492 states/eV/atom. Number 2: D(E_F) 0.754 states/eV/atom. Number 3: D(E_F) 0.809 states/eV/atom. Number 4: D(E_F) 0.627 states/eV/atom. Number 5: D(E_F) 0.573 states/eV/atom. Number 6: D(E_F) 0.134 states/eV/atom.